U3S4 | PBE | relaxed

Geometry as POSCAR:
```
U3S4
1.0
-4.0571 4.0571 4.0571
4.0571 -4.0571 4.0571
4.0571 4.0571 -4.0571
U S
6 8
Direct
0.1250 0.7500 0.8750
0.2500 0.6250 0.3750
0.3750 0.2500 0.6250
0.6250 0.3750 0.2500
0.7500 0.8750 0.1250
0.8750 0.1250 0.7500
0.0000 0.3455 0.5000
0.0000 0.8455 0.5000
0.1545 0.1545 0.1545
0.3455 0.5000 0.0000
0.5000 0.0000 0.3455
0.5000 0.0000 0.8455
0.6545 0.6545 0.6545
0.8455 0.5000 0.0000
```

Values from the calculation:
Magnetic moment in Bohr magnetons per cell: 11.62
Uncorrected energy in eV/atom: -8.587

=====

NbInCuNi | PBE | relaxed

Geometry as POSCAR:
```
NbInCuNi
1.0
0.0000 3.1482 3.1482
3.1482 0.0000 3.1482
3.1482 3.1482 0.0000
Nb In Cu Ni
1 1 1 1
Direct
0.0000 0.0000 0.0000
0.2500 0.2500 0.2500
0.5000 0.5000 0.5000
0.7500 0.7500 0.7500
```

Values from the calculation:
Magnetic moment in Bohr magnetons per cell: 0.00
Uncorrected energy in eV/atom: -5.368

=====

Nd5Pb4 | PBE | relaxed

Geometry as POSCAR:
```
Nd5Pb4
1.0
8.4180 0.0000 0.0000
0.0000 16.0932 0.0000
0.0000 0.0000 8.5397
Nd Pb
20 16
Direct
0.0294 0.1009 0.1784
0.0294 0.3991 0.1784
0.1225 0.6189 0.3404
0.1225 0.8811 0.3404
0.2091 0.2500 0.5023
0.2909 0.7500 0.0023
0.3775 0.1189 0.8404
0.3775 0.3811 0.8404
0.4706 0.6009 0.6784
0.4706 0.8991 0.6784
0.5294 0.1009 0.3216
0.5294 0.3991 0.3216
0.6225 0.6189 0.1596
0.6225 0.8811 0.1596
0.7091 0.2500 0.9977
0.7909 0.7500 0.4977
0.8775 0.1189 0.6596
0.8775 0.3811 0.6596
0.9706 0.6009 0.8216
0.9706 0.8991 0.8216
0.0748 0.2500 0.8768
0.1618 0.7500 0.6453
0.2194 0.0425 0.5331
0.2194 0.4575 0.5331
0.2806 0.5425 0.0331
0.2806 0.9575 0.0331
0.3382 0.2500 0.1453
0.4252 0.7500 0.3768
0.5748 0.2500 0.6232
0.6618 0.7500 0.8547
0.7194 0.0425 0.9669
0.7194 0.4575 0.9669
0.7806 0.5425 0.4669
0.7806 0.9575 0.4669
0.8382 0.2500 0.3547
0.9252 0.7500 0.1232
```

Values from the calculation:
Magnetic moment in Bohr magnetons per cell: 0.03
Uncorrected energy in eV/atom: -4.876